[1]
Nd6Se5Cl: optimized geometry, PBE.

For the electronic total energy, the calculation gives -5.75 eV/atom. The calculation puts the density of states at the Fermi level at 5.76 states/eV/cell. The space group is C2/m, No. 12. The mass density is 6.72 g cm⁻³. The calculated volume comes out at 26.7 Å³ per atom.

abc: 7.3020 7.3020 7.2696
angles: 99.51 99.51 119.17
With the nearest neighbours (Å) after each atom.
Fractional positions:
Nd1 0.0638 0.4108 0.7366  5 Se 2.91-2.99, 1 Cl 3.13
Nd2 0.2353 0.2353 0.2543  5 Se 2.87-2.98, 1 Cl 3.10
Nd3 0.4108 0.0638 0.7366  5 Se 2.91-2.99, 1 Cl 3.13
Nd4 0.5892 0.9362 0.2634  5 Se 2.91-2.99, 1 Cl 3.13
Nd5 0.7647 0.7647 0.7457  5 Se 2.87-2.98, 1 Cl 3.10
Nd6 0.9362 0.5892 0.2634  5 Se 2.91-2.99, 1 Cl 3.13
Se1 0.0000 0.0000 0.5000  6 Nd 2.87-2.97
Se2 0.1695 0.8305 0.0000  6 Nd 2.98-2.99
Se3 0.3404 0.6596 0.5000  6 Nd 2.91-2.99
Se4 0.6596 0.3404 0.5000  6 Nd 2.91-2.99
Se5 0.8305 0.1695 0.0000  6 Nd 2.98-2.99
Cl1 0.5000 0.5000 0.0000  6 Nd 3.10-3.13

=====

[2]
NdSeCl: optimized geometry, PBE.

For the electronic total energy, the calculation gives -5.13 eV/atom. As for the energy relative to the lowest polymorph listed for this composition: 314 meV/atom. The calculation puts the density of states at the Fermi level at 0.07 states/eV/cell. The space group is P3m1, No. 156. The mass density is 5.55 g cm⁻³. The calculated volume comes out at 25.8 Å³ per atom.

abc: 4.6887 4.6887 4.0660
angles: 90.00 90.00 120.00
With the nearest neighbours (Å) after each atom.
Fractional positions:
Nd1 0.0000 0.0000 0.0000  3 Cl 2.71
Se1 0.6667 0.3333 0.5019  6 Nd 3.38-3.39, 6 Cl 3.38-3.39
Cl1 0.3333 0.6667 0.0031  3 Nd 2.71

=====

[3]
Nd6Si2Se3Cl: optimized geometry, PBE.

For the electronic total energy, the calculation gives -5.77 eV/atom. The calculation puts the density of states at the Fermi level at 4.10 states/eV/cell. The space group is C2/m, No. 12. The mass density is 6.08 g cm⁻³. The calculated volume comes out at 27.2 Å³ per atom.

abc: 9.4923 9.4923 8.5586
angles: 102.53 102.53 25.71
With the nearest neighbours (Å) after each atom.
Fractional positions:
Nd1 0.0077 0.0077 0.2686  1 Si 2.86, 3 Se 2.92-3.07, 2 Cl 3.10
Nd2 0.3273 0.3273 0.8982  2 Si 2.91, 3 Se 2.99-3.07, 1 Cl 3.12
Nd3 0.3306 0.3306 0.4217  3 Si 2.97, 3 Se 3.06-3.09
Nd4 0.6694 0.6694 0.5783  3 Si 2.97, 3 Se 3.06-3.09
Nd5 0.6727 0.6727 0.1018  2 Si 2.91, 3 Se 2.99-3.07, 1 Cl 3.12
Nd6 0.9923 0.9923 0.7314  1 Si 2.86, 3 Se 2.92-3.07, 2 Cl 3.10
Si1 0.1663 0.1663 0.3325  6 Nd 2.86-2.97
Si2 0.8337 0.8337 0.6675  6 Nd 2.86-2.97
Se1 0.1618 0.1618 0.8374  6 Nd 2.99-3.09
Se2 0.5000 0.5000 0.5000  6 Nd 2.92-3.06
Se3 0.8382 0.8382 0.1626  6 Nd 2.99-3.09
Cl1 0.5000 0.5000 0.0000  6 Nd 3.10-3.12

=====

[4]
Nd4Si2SeCl: optimized geometry, PBE.

For the electronic total energy, the calculation gives -5.66 eV/atom. The calculation puts the density of states at the Fermi level at 2.18 states/eV/cell. The space group is Fmm2, No. 42. The mass density is 5.85 g cm⁻³. The calculated volume comes out at 26.5 Å³ per atom.

abc: 7.2867 5.9766 7.2906
angles: 65.76 48.41 65.83
With the nearest neighbours (Å) after each atom.
Fractional positions:
Nd1 0.9998 0.5002 0.0002  2 Si 2.97, 2 Cl 2.98-2.99, 2 Se 2.99
Nd2 0.2472 0.7528 0.2472  1 Se 2.94, 4 Si 2.99, 1 Cl 3.00
Nd3 0.5002 0.9998 0.4998  2 Si 2.97, 2 Cl 2.98-2.99, 2 Se 2.99
Nd4 0.7528 0.2472 0.7528  1 Se 2.94, 4 Si 2.99, 1 Cl 3.00
Si1 0.2505 0.2505 0.2495  6 Nd 2.97-2.99
Si2 0.7505 0.7505 0.7495  6 Nd 2.97-2.99
Se1 0.9999 0.9999 0.0001  6 Nd 2.94-2.99
Cl1 0.5007 0.5007 0.4993  6 Nd 2.98-3.00

=====

[5]
Nd8Si3SeCl4: optimized geometry, PBE.

For the electronic total energy, the calculation gives -5.39 eV/atom. The calculation puts the density of states at the Fermi level at 8.40 states/eV/cell. The space group is R-3m, No. 166. The mass density is 5.61 g cm⁻³. The calculated volume comes out at 27.0 Å³ per atom.

abc: 8.4956 8.4956 8.4956
angles: 59.84 59.84 59.84
With the nearest neighbours (Å) after each atom.
Fractional positions:
Nd1 0.2295 0.7471 0.7471  2 Si 2.86, 1 Se 2.97, 3 Cl 3.04-3.14
Nd2 0.2413 0.2413 0.2413  3 Si 2.90, 3 Cl 3.11
Nd3 0.2529 0.2529 0.7705  2 Si 2.86, 1 Se 2.97, 3 Cl 3.04-3.14
Nd4 0.2529 0.7705 0.2529  2 Si 2.86, 1 Se 2.97, 3 Cl 3.04-3.14
Nd5 0.7471 0.2295 0.7471  2 Si 2.86, 1 Se 2.97, 3 Cl 3.04-3.14
Nd6 0.7471 0.7471 0.2295  2 Si 2.86, 1 Se 2.97, 3 Cl 3.04-3.14
Nd7 0.7587 0.7587 0.7587  3 Si 2.90, 3 Cl 3.11
Nd8 0.7705 0.2529 0.2529  2 Si 2.86, 1 Se 2.97, 3 Cl 3.04-3.14
Si1 0.0000 0.0000 0.5000  6 Nd 2.86-2.90
Si2 0.0000 0.5000 0.0000  6 Nd 2.86-2.90
Si3 0.5000 0.0000 0.0000  6 Nd 2.86-2.90
Se1 0.5000 0.5000 0.5000  6 Nd 2.97
Cl1 0.0000 0.0000 0.0000  6 Nd 3.04
Cl2 0.0000 0.5000 0.5000  6 Nd 3.11-3.14
Cl3 0.5000 0.0000 0.5000  6 Nd 3.11-3.14
Cl4 0.5000 0.5000 0.0000  6 Nd 3.11-3.14

=====

[6]
Nd4SiSe2Cl: optimized geometry, PBE.

For the electronic total energy, the calculation gives -5.68 eV/atom. The calculation puts the density of states at the Fermi level at 3.85 states/eV/cell. The space group is P2/m, No. 10. The mass density is 6.17 g cm⁻³. The calculated volume comes out at 26.8 Å³ per atom.

abc: 7.2883 4.2155 7.3936
angles: 90.00 109.01 90.00
With the nearest neighbours (Å) after each atom.
Fractional positions:
Nd1 0.2411 0.0000 0.2333  2 Si 2.92, 3 Se 2.94-3.08, 1 Cl 3.04
Nd2 0.2541 0.5000 0.7709  1 Si 2.89, 3 Se 2.92-3.09, 2 Cl 3.08
Nd3 0.7459 0.5000 0.2291  1 Si 2.89, 3 Se 2.92-3.09, 2 Cl 3.08
Nd4 0.7589 0.0000 0.7667  2 Si 2.92, 3 Se 2.94-3.08, 1 Cl 3.04
Si1 0.0000 0.5000 0.0000  6 Nd 2.89-2.92
Se1 0.5000 0.0000 0.0000  6 Nd 2.92-2.94
Se2 0.5000 0.5000 0.5000  6 Nd 3.08-3.09
Cl1 0.0000 0.0000 0.5000  6 Nd 3.04-3.08

=====

[7]
TbNdSe2Cl: optimized geometry, PBE.

For the electronic total energy, the calculation gives -5.53 eV/atom. The calculation puts the density of states at the Fermi level at 3.21 states/eV/cell. The space group is P4/nmm, No. 129. The mass density is 6.68 g cm⁻³. The calculated volume comes out at 24.7 Å³ per atom.

abc: 4.1803 4.1803 14.1305
angles: 90.00 90.00 90.00
With the nearest neighbours (Å) after each atom.
Fractional positions:
Tb1 0.2500 0.2500 0.0903  6 Se 2.90-2.98
Tb2 0.7500 0.7500 0.9097  6 Se 2.90-2.98
Nd1 0.2500 0.2500 0.6461  4 Cl 2.94, 4 Se 3.07
Nd2 0.7500 0.7500 0.3539  4 Cl 2.94, 4 Se 3.07
Se1 0.2500 0.2500 0.2953  1 Tb 2.90, 4 Nd 3.07
Se2 0.2500 0.2500 0.8825  5 Tb 2.94-2.98
Se3 0.7500 0.7500 0.1175  5 Tb 2.94-2.98
Se4 0.7500 0.7500 0.7047  1 Tb 2.90, 4 Nd 3.07
Cl1 0.2500 0.7500 0.5000  4 Nd 2.94, 4 Cl 2.96
Cl2 0.7500 0.2500 0.5000  4 Nd 2.94, 4 Cl 2.96

=====

[8]
Nd8Te4Se3Cl: optimized geometry, PBE.

For the electronic total energy, the calculation gives -5.50 eV/atom. The calculation puts the density of states at the Fermi level at 7.98 states/eV/cell. The space group is R-3m, No. 166. The mass density is 6.88 g cm⁻³. The calculated volume comes out at 29.2 Å³ per atom.

abc: 8.6969 8.6969 8.6969
angles: 60.24 60.24 60.24
With the nearest neighbours (Å) after each atom.
Fractional positions:
Nd1 0.2337 0.7421 0.7421  2 Se 2.94, 1 Cl 2.99, 3 Te 3.18-3.23
Nd2 0.2387 0.2387 0.2387  3 Se 2.95, 3 Te 3.23
Nd3 0.2579 0.2579 0.7663  2 Se 2.94, 1 Cl 2.99, 3 Te 3.18-3.23
Nd4 0.2579 0.7663 0.2579  2 Se 2.94, 1 Cl 2.99, 3 Te 3.18-3.23
Nd5 0.7421 0.2337 0.7421  2 Se 2.94, 1 Cl 2.99, 3 Te 3.18-3.23
Nd6 0.7421 0.7421 0.2337  2 Se 2.94, 1 Cl 2.99, 3 Te 3.18-3.23
Nd7 0.7613 0.7613 0.7613  3 Se 2.95, 3 Te 3.23
Nd8 0.7663 0.2579 0.2579  2 Se 2.94, 1 Cl 2.99, 3 Te 3.18-3.23
Te1 0.0000 0.0000 0.0000  6 Nd 3.18
Te2 0.0000 0.5000 0.5000  6 Nd 3.23
Te3 0.5000 0.0000 0.5000  6 Nd 3.23
Te4 0.5000 0.5000 0.0000  6 Nd 3.23
Se1 0.0000 0.0000 0.5000  6 Nd 2.94-2.95
Se2 0.0000 0.5000 0.0000  6 Nd 2.94-2.95
Se3 0.5000 0.0000 0.0000  6 Nd 2.94-2.95
Cl1 0.5000 0.5000 0.5000  6 Nd 2.99

=====

[9]
Nd4ZnSe2Cl: optimized geometry, PBE.

For the electronic total energy, the calculation gives -4.99 eV/atom. The calculation puts the density of states at the Fermi level at 4.22 states/eV/cell. The space group is P2/m, No. 10. The mass density is 6.51 g cm⁻³. The calculated volume comes out at 26.7 Å³ per atom.

abc: 7.3539 4.1414 7.3726
angles: 90.00 108.26 90.00
With the nearest neighbours (Å) after each atom.
Fractional positions:
Nd1 0.2375 0.0000 0.2432  3 Se 2.93-3.02, 1 Zn 2.95, 2 Cl 3.05
Nd2 0.2472 0.5000 0.7495  3 Se 2.97-3.00, 2 Zn 2.98, 1 Cl 3.00
Nd3 0.7528 0.5000 0.2505  3 Se 2.97-3.00, 2 Zn 2.98, 1 Cl 3.00
Nd4 0.7625 0.0000 0.7568  3 Se 2.93-3.02, 1 Zn 2.95, 2 Cl 3.05
Zn1 0.0000 0.0000 0.5000  6 Nd 2.95-2.98
Se1 0.0000 0.5000 0.0000  6 Nd 2.93-2.97
Se2 0.5000 0.0000 0.0000  6 Nd 3.00-3.02
Cl1 0.5000 0.5000 0.5000  6 Nd 3.00-3.05

=====

[10]
NdSiCl: optimized geometry, PBE.

For the electronic total energy, the calculation gives -4.79 eV/atom. The calculation puts the density of states at the Fermi level at 3.00 states/eV/cell. The space group is Immm, No. 71. The mass density is 4.62 g cm⁻³. The calculated volume comes out at 24.9 Å³ per atom.

abc: 9.9399 9.9399 9.9399
angles: 160.59 152.74 33.68
With the nearest neighbours (Å) after each atom.
Fractional positions:
Nd1 0.1442 0.1442 0.0000  2 Si 2.98, 5 Cl 3.01-3.15
Nd2 0.8558 0.8558 0.0000  2 Si 2.98, 5 Cl 3.01-3.15
Si1 0.2489 0.0000 0.2489  2 Si 2.33-2.35
Si2 0.7511 0.0000 0.7511  2 Si 2.33-2.35
Cl1 0.3097 0.3097 0.0000  5 Nd 3.01-3.15, 2 Cl 3.35
Cl2 0.6903 0.6903 0.0000  5 Nd 3.01-3.15, 2 Cl 3.35

=====

[11]
Nd3SiCl2: optimized geometry, PBE.

For the electronic total energy, the calculation gives -5.17 eV/atom. As for the energy relative to the lowest polymorph listed for this composition: 0 meV/atom. The calculation puts the density of states at the Fermi level at 5.23 states/eV/cell. The space group is C2/m, No. 12. The mass density is 5.60 g cm⁻³. The calculated volume comes out at 26.3 Å³ per atom.

abc: 7.2851 7.2851 7.2799
angles: 99.59 99.59 120.08
With the nearest neighbours (Å) after each atom.
Fractional positions:
Nd1 0.0772 0.4243 0.7721  2 Si 2.85, 4 Cl 2.97-3.11
Nd2 0.2295 0.2295 0.2265  2 Si 2.84, 4 Cl 2.96-3.12
Nd3 0.4243 0.0772 0.7721  2 Si 2.85, 4 Cl 2.97-3.11
Nd4 0.5757 0.9228 0.2279  2 Si 2.85, 4 Cl 2.97-3.11
Nd5 0.7705 0.7705 0.7735  2 Si 2.84, 4 Cl 2.96-3.12
Nd6 0.9228 0.5757 0.2279  2 Si 2.85, 4 Cl 2.97-3.11
Si1 0.1665 0.8335 0.0000  6 Nd 2.84-2.85
Si2 0.8335 0.1665 0.0000  6 Nd 2.84-2.85
Cl1 0.0000 0.0000 0.5000  6 Nd 3.00-3.11
Cl2 0.3317 0.6683 0.5000  6 Nd 2.97-3.12
Cl3 0.5000 0.5000 0.0000  6 Nd 2.96-2.97
Cl4 0.6683 0.3317 0.5000  6 Nd 2.97-3.12

=====

Which value of calculated volume does entry 4 give?
26.5 Å³ per atom